No. 1
Density functional theory data (PBE-GGA) for an optimized crystal structure of Tb2PmWN4.

Formation energy from raw total energies = -1.09 eV/atom
DOS at the Fermi energy = 4.30 states/eV per cell
Symmetry = Cmcm, No. 63

a = 6.178 Å, b = 6.178 Å, c = 11.993 Å
α = 90.00°, β = 90.00°, γ = 147.83°
Sites, in units of the cell vectors:
1 Tb 0.130 0.870 0.538
2 Tb 0.130 0.870 0.962
3 Tb 0.870 0.130 0.038
4 Tb 0.870 0.130 0.462
5 Pm 0.404 0.596 0.750
6 Pm 0.596 0.404 0.250
7 W 0.337 0.663 0.250
8 W 0.663 0.337 0.750
9 N 0.061 0.939 0.750
10 N 0.237 0.763 0.125
11 N 0.237 0.763 0.375
12 N 0.500 0.500 0.000
13 N 0.500 0.500 0.500
14 N 0.763 0.237 0.625
15 N 0.763 0.237 0.875
16 N 0.939 0.061 0.250

=====

No. 2
Density functional theory data (PBE-GGA) for an optimized crystal structure of BaCd2Te.

Formation energy from raw total energies = -0.62 eV/atom
DOS at the Fermi energy = 0.58 states/eV per cell
Symmetry = R3m, No. 160

a = 6.643 Å, b = 6.643 Å, c = 6.643 Å
α = 45.78°, β = 45.78°, γ = 45.78°
Sites, in units of the cell vectors:
1 Ba 0.000 0.000 0.000
2 Cd 0.223 0.223 0.223
3 Cd 0.539 0.539 0.539
4 Te 0.778 0.778 0.778

=====

No. 3
Density functional theory data (PBE-GGA) for an optimized crystal structure of BeBr2F.

Formation energy from raw total energies = -0.38 eV/atom
DOS at the Fermi energy = 5.59 states/eV per cell
Symmetry = R-3m, No. 166
Energy relative to the lowest polymorph listed for this composition = 230 meV per atom

a = 7.364 Å, b = 7.364 Å, c = 7.364 Å
α = 35.91°, β = 35.91°, γ = 35.91°
Sites, in units of the cell vectors:
1 Be 0.000 0.000 0.000
2 Br 0.094 0.094 0.094
3 Br 0.906 0.906 0.906
4 F 0.500 0.500 0.500

=====

No. 4
Density functional theory data (PBE-GGA) for an optimized crystal structure of MgH3Br.

DOS at the Fermi energy = 2.85 states/eV per cell
Symmetry = Pm-3m, No. 221
Energy relative to the lowest polymorph listed for this composition = 0 meV per atom

a = 3.945 Å, b = 3.945 Å, c = 3.945 Å
α = 90.00°, β = 90.00°, γ = 90.00°
Sites, in units of the cell vectors:
1 Mg 0.000 0.000 0.000
2 H 0.000 0.000 0.500
3 H 0.000 0.500 0.000
4 H 0.500 0.000 0.000
5 Br 0.500 0.500 0.500